Record 1
Density functional theory data (PBEsol) for a relaxed Ag8Se crystal.

Cell: 6.5042 6.5042 6.5042 Å, 95.38 95.38 144.33°
Positions (direct):
1 Ag 0.0000 0.3360 0.3360
2 Ag 0.0000 0.6640 0.6640
3 Ag 0.3308 0.3308 0.6617
4 Ag 0.3308 0.6692 0.0000
5 Ag 0.3360 0.0000 0.3360
6 Ag 0.6640 0.0000 0.6640
7 Ag 0.6692 0.3308 0.0000
8 Ag 0.6692 0.6692 0.3383
9 Se 0.0000 0.0000 0.0000

Computed properties:
- total magnetization (Bohr magnetons per cell) = 0.00
- E (eV/atom) = -3.36
- D(E_F) (states/eV/f.u.) = 2.22
- SG = No. 139



Record 2
Density functional theory data (PBEsol) for a relaxed AgSe2 crystal.

Cell: 4.9971 4.9971 5.3784 Å, 90.00 90.00 120.00°
Positions (direct):
1 Ag 0.3333 0.6667 0.2500
2 Ag 0.6667 0.3333 0.7500
3 Se 0.0000 0.0000 0.0000
4 Se 0.0000 0.0000 0.5000
5 Se 0.3333 0.6667 0.7500
6 Se 0.6667 0.3333 0.2500

Computed properties:
- total magnetization (Bohr magnetons per cell) = 0.00
- E (eV/atom) = -3.29
- D(E_F) (states/eV/f.u.) = 2.14
- SG = No. 194



Record 3
Density functional theory data (PBEsol) for a relaxed AgSe8 crystal.

Cell: 6.5846 6.5846 6.5846 Å, 107.73 107.73 113.00°
Positions (direct):
1 Ag 0.0000 0.0000 0.0000
2 Se 0.0000 0.3246 0.3246
3 Se 0.0000 0.6754 0.6754
4 Se 0.3246 0.0000 0.3246
5 Se 0.3342 0.3342 0.6685
6 Se 0.3342 0.6658 0.0000
7 Se 0.6658 0.3342 0.0000
8 Se 0.6658 0.6658 0.3315
9 Se 0.6754 0.0000 0.6754

Computed properties:
- total magnetization (Bohr magnetons per cell) = 0.00
- E (eV/atom) = -3.56
- D(E_F) (states/eV/f.u.) = 5.94
- SG = No. 139



Record 4
Density functional theory data (PBEsol) for a relaxed Ag5Se3 crystal.

Cell: 7.6434 9.2198 4.1772 Å, 90.00 90.00 90.00°
Positions (direct):
1 Ag 0.0000 0.0000 0.0000
2 Ag 0.2265 0.5000 0.5000
3 Ag 0.2500 0.2500 0.0000
4 Ag 0.2500 0.7500 0.0000
5 Ag 0.2735 0.0000 0.5000
6 Ag 0.5000 0.5000 0.0000
7 Ag 0.7265 0.0000 0.5000
8 Ag 0.7500 0.2500 0.0000
9 Ag 0.7500 0.7500 0.0000
10 Ag 0.7735 0.5000 0.5000
11 Se 0.0000 0.1999 0.5000
12 Se 0.0000 0.5000 0.0000
13 Se 0.0000 0.8001 0.5000
14 Se 0.5000 0.0000 0.0000
15 Se 0.5000 0.3001 0.5000
16 Se 0.5000 0.6999 0.5000

Computed properties:
- total magnetization (Bohr magnetons per cell) = 0.00
- E (eV/atom) = -3.49
- D(E_F) (states/eV/f.u.) = 4.08
- SG = No. 65



Record 5
Density functional theory data (PBEsol) for a relaxed Ag3Se5 crystal.

Cell: 6.2606 8.0961 8.5744 Å, 65.23 75.01 67.92°
Positions (direct):
1 Ag 0.0000 0.0000 0.0000
2 Ag 0.0296 0.5227 0.9118
3 Ag 0.2275 0.7590 0.6054
4 Ag 0.3991 0.9954 0.6985
5 Ag 0.5448 0.4303 0.1557
6 Ag 0.6168 0.4261 0.6108
7 Se 0.0972 0.3139 0.5306
8 Se 0.1848 0.2493 0.2403
9 Se 0.2703 0.7048 0.9299
10 Se 0.3084 0.5462 0.4099
11 Se 0.3406 0.1234 0.9893
12 Se 0.6183 0.8363 0.4111
13 Se 0.6621 0.8443 0.1260
14 Se 0.7779 0.3612 0.8853
15 Se 0.8167 0.0257 0.6230
16 Se 0.8498 0.1023 0.3151

Computed properties:
- total magnetization (Bohr magnetons per cell) = 0.00
- E (eV/atom) = -3.60
- D(E_F) (states/eV/f.u.) = 2.50
- SG = No. 1



Record 6
Density functional theory data (PBEsol) for a relaxed AgSe2 crystal.

Cell: 5.9150 5.9150 7.0340 Å, 90.00 90.00 90.00°
Positions (direct):
1 Ag 0.0000 0.0000 0.2500
2 Ag 0.0000 0.0000 0.7500
3 Ag 0.5000 0.5000 0.2500
4 Ag 0.5000 0.5000 0.7500
5 Se 0.1397 0.3603 0.0000
6 Se 0.1397 0.6397 0.5000
7 Se 0.3603 0.1397 0.5000
8 Se 0.3603 0.8603 0.0000
9 Se 0.6397 0.1397 0.0000
10 Se 0.6397 0.8603 0.5000
11 Se 0.8603 0.3603 0.5000
12 Se 0.8603 0.6397 0.0000

Computed properties:
- total magnetization (Bohr magnetons per cell) = 0.00
- E (eV/atom) = -3.59
- D(E_F) (states/eV/f.u.) = 2.23
- SG = No. 140



Record 7
Density functional theory data (PBEsol) for a relaxed Ag3Se crystal.

Cell: 4.1286 4.1286 16.5017 Å, 90.00 90.00 90.00°
Positions (direct):
1 Ag 0.0000 0.0000 0.1195
2 Ag 0.0000 0.0000 0.8805
3 Ag 0.0000 0.5000 0.0000
4 Ag 0.0000 0.5000 0.2500
5 Ag 0.0000 0.5000 0.5000
6 Ag 0.0000 0.5000 0.7500
7 Ag 0.5000 0.0000 0.0000
8 Ag 0.5000 0.0000 0.2500
9 Ag 0.5000 0.0000 0.5000
10 Ag 0.5000 0.0000 0.7500
11 Ag 0.5000 0.5000 0.3805
12 Ag 0.5000 0.5000 0.6195
13 Se 0.0000 0.0000 0.3674
14 Se 0.0000 0.0000 0.6326
15 Se 0.5000 0.5000 0.1326
16 Se 0.5000 0.5000 0.8674

Computed properties:
- total magnetization (Bohr magnetons per cell) = 0.00
- E (eV/atom) = -3.43
- D(E_F) (states/eV/f.u.) = 0.64
- SG = No. 139



Record 8
Density functional theory data (PBEsol) for a relaxed Ag7Se crystal.

Cell: 5.7777 5.7777 5.7777 Å, 60.00 60.00 60.00°
Positions (direct):
1 Ag 0.0000 0.0000 0.0000
2 Ag 0.0000 0.0000 0.5000
3 Ag 0.0000 0.5000 0.0000
4 Ag 0.0000 0.5000 0.5000
5 Ag 0.5000 0.0000 0.0000
6 Ag 0.5000 0.0000 0.5000
7 Ag 0.5000 0.5000 0.0000
8 Se 0.5000 0.5000 0.5000

Computed properties:
- total magnetization (Bohr magnetons per cell) = 0.00
- E (eV/atom) = -3.33
- D(E_F) (states/eV/f.u.) = 1.41
- SG = No. 225



Record 9
Density functional theory data (PBEsol) for a relaxed Ag3Se crystal.

Cell: 4.1166 4.1166 4.1166 Å, 90.00 90.00 90.00°
Positions (direct):
1 Ag 0.0000 0.0000 0.5000
2 Ag 0.0000 0.5000 0.0000
3 Ag 0.5000 0.0000 0.0000
4 Se 0.5000 0.5000 0.5000

Computed properties:
- total magnetization (Bohr magnetons per cell) = 0.00
- E (eV/atom) = -3.44
- D(E_F) (states/eV/f.u.) = 1.07
- SG = No. 221



Record 10
Density functional theory data (PBEsol) for a relaxed Ag3Se5 crystal.

Cell: 7.1248 12.4446 3.7968 Å, 90.00 90.00 90.00°
Positions (direct):
1 Ag 0.0000 0.0000 0.0000
2 Ag 0.0000 0.1983 0.5000
3 Ag 0.0000 0.8017 0.5000
4 Ag 0.5000 0.3017 0.5000
5 Ag 0.5000 0.5000 0.0000
6 Ag 0.5000 0.6983 0.5000
7 Se 0.0000 0.5000 0.0000
8 Se 0.2486 0.5000 0.5000
9 Se 0.2500 0.2500 0.0000
10 Se 0.2500 0.7500 0.0000
11 Se 0.2514 0.0000 0.5000
12 Se 0.5000 0.0000 0.0000
13 Se 0.7486 0.0000 0.5000
14 Se 0.7500 0.2500 0.0000
15 Se 0.7500 0.7500 0.0000
16 Se 0.7514 0.5000 0.5000

Computed properties:
- total magnetization (Bohr magnetons per cell) = 0.00
- E (eV/atom) = -3.42
- D(E_F) (states/eV/f.u.) = 5.14
- SG = No. 65



Record 11
Density functional theory data (PBEsol) for a relaxed AgSe2 crystal.

Cell: 4.9736 4.9736 2.7162 Å, 90.00 90.00 90.00°
Positions (direct):
1 Ag 0.0000 0.0000 0.0000
2 Se 0.0000 0.5000 0.5000
3 Se 0.5000 0.0000 0.5000

Computed properties:
- total magnetization (Bohr magnetons per cell) = 0.00
- E (eV/atom) = -3.40
- D(E_F) (states/eV/f.u.) = 1.74
- SG = No. 123



Record 12
Density functional theory data (PBEsol) for a relaxed Ag3Se crystal.

Cell: 4.7009 5.8009 5.1709 Å, 90.00 90.00 90.00°
Positions (direct):
1 Ag 0.2500 0.0003 0.1586
2 Ag 0.2500 0.2500 0.6719
3 Ag 0.2500 0.4997 0.1586
4 Ag 0.7500 0.9997 0.8414
5 Ag 0.7500 0.5003 0.8414
6 Ag 0.7500 0.7500 0.3281
7 Se 0.2500 0.7500 0.6618
8 Se 0.7500 0.2500 0.3382

Computed properties:
- total magnetization (Bohr magnetons per cell) = 0.00
- E (eV/atom) = -3.40
- D(E_F) (states/eV/f.u.) = 1.64
- SG = No. 59



Record 13
Density functional theory data (PBEsol) for a relaxed SiAgSe crystal.

Cell: 4.9049 4.9049 2.6397 Å, 90.00 90.00 120.00°
Positions (direct):
1 Si 0.0000 0.0000 0.0000
2 Ag 0.3333 0.6667 0.0000
3 Se 0.6667 0.3333 0.0000

Computed properties:
- total magnetization (Bohr magnetons per cell) = 0.00
- E (eV/atom) = -3.99
- D(E_F) (states/eV/f.u.) = 1.39
- SG = No. 187



Record 14
Density functional theory data (PBEsol) for a relaxed Si2AgSe crystal.

Cell: 11.0090 3.7120 3.7076 Å, 90.00 108.01 90.00°
Positions (direct):
1 Si 0.2482 0.0000 0.2533
2 Si 0.2518 0.5000 0.7467
3 Si 0.7482 0.5000 0.2533
4 Si 0.7518 0.0000 0.7467
5 Ag 0.0000 0.5000 0.5000
6 Ag 0.5000 0.0000 0.5000
7 Se 0.0000 0.0000 0.0000
8 Se 0.5000 0.5000 0.0000

Computed properties:
- total magnetization (Bohr magnetons per cell) = 0.00
- E (eV/atom) = -4.45
- D(E_F) (states/eV/f.u.) = 2.05
- SG = No. 12



Record 15
Density functional theory data (PBEsol) for a relaxed SiAgSe crystal.

Cell: 2.6849 2.7024 7.7318 Å, 81.75 89.82 88.28°
Positions (direct):
1 Si 0.0000 0.0000 0.0000
2 Ag 0.9958 0.3416 0.3027
3 Se 0.9954 0.1695 0.6576

Computed properties:
- total magnetization (Bohr magnetons per cell) = 0.00
- E (eV/atom) = -4.08
- D(E_F) (states/eV/f.u.) = 0.95
- SG = No. 1



Record 16
Density functional theory data (PBEsol) for a relaxed SiAg2Se crystal.

Cell: 2.8808 4.0127 6.0913 Å, 90.00 92.89 90.00°
Positions (direct):
1 Si 0.0000 0.0000 0.0000
2 Ag 0.4936 0.5000 0.7718
3 Ag 0.5064 0.5000 0.2282
4 Se 0.0000 0.0000 0.5000

Computed properties:
- total magnetization (Bohr magnetons per cell) = 0.00
- E (eV/atom) = -3.81
- D(E_F) (states/eV/f.u.) = 1.12
- SG = No. 10



Record 17
Density functional theory data (PBEsol) for a relaxed AgSn3Se crystal.

Cell: 5.4228 5.4228 5.4228 Å, 90.00 90.00 90.00°
Positions (direct):
1 Ag 0.0000 0.0000 0.0000
2 Sn 0.0000 0.5000 0.5000
3 Sn 0.5000 0.0000 0.5000
4 Sn 0.5000 0.5000 0.0000
5 Se 0.5000 0.5000 0.5000

Computed properties:
- total magnetization (Bohr magnetons per cell) = 0.00
- E (eV/atom) = -3.38
- D(E_F) (states/eV/f.u.) = 3.04
- SG = No. 221



Record 18
Density functional theory data (PBEsol) for a relaxed Ag2Sn2Se crystal.

Cell: 3.7806 3.7806 15.6375 Å, 90.00 90.00 90.00°
Positions (direct):
1 Ag 0.0000 0.5000 0.2500
2 Ag 0.0000 0.5000 0.7500
3 Ag 0.5000 0.0000 0.2500
4 Ag 0.5000 0.0000 0.7500
5 Sn 0.0000 0.0000 0.1021
6 Sn 0.0000 0.0000 0.8979
7 Sn 0.5000 0.5000 0.3979
8 Sn 0.5000 0.5000 0.6021
9 Se 0.0000 0.0000 0.5000
10 Se 0.5000 0.5000 0.0000

Computed properties:
- total magnetization (Bohr magnetons per cell) = 0.00
- E (eV/atom) = -3.75
- D(E_F) (states/eV/f.u.) = 2.07
- SG = No. 139



Record 19
Density functional theory data (PBEsol) for a relaxed Ag8SnSe6 crystal.

Cell: 7.9617 7.6570 10.8272 Å, 90.00 90.00 90.00°
Positions (direct):
1 Ag 0.0000 0.1280 0.0965
2 Ag 0.0000 0.2112 0.6698
3 Ag 0.1898 0.0389 0.8758
4 Ag 0.2130 0.6101 0.2729
5 Ag 0.2204 0.6778 0.0000
6 Ag 0.2796 0.3222 0.5000
7 Ag 0.2870 0.3899 0.7729
8 Ag 0.3102 0.9611 0.3758
9 Ag 0.5000 0.7888 0.1698
10 Ag 0.5000 0.8720 0.5965
11 Ag 0.6898 0.9611 0.3758
12 Ag 0.7130 0.3899 0.7729
13 Ag 0.7204 0.3222 0.5000
14 Ag 0.7796 0.6778 0.0000
15 Ag 0.7870 0.6101 0.2729
16 Ag 0.8102 0.0389 0.8758
17 Sn 0.0000 0.7490 0.6214
18 Sn 0.5000 0.2510 0.1214
19 Se 0.0000 0.0100 0.4796
20 Se 0.0000 0.3248 0.8971
21 Se 0.0000 0.4958 0.4705
22 Se 0.0000 0.7957 0.1450
23 Se 0.2370 0.2517 0.2508
24 Se 0.2630 0.7483 0.7508
25 Se 0.5000 0.2043 0.6450
26 Se 0.5000 0.5042 0.9705
27 Se 0.5000 0.6752 0.3971
28 Se 0.5000 0.9900 0.9796
29 Se 0.7370 0.7483 0.7508
30 Se 0.7630 0.2517 0.2508

Computed properties:
- total magnetization (Bohr magnetons per cell) = 0.00
- E (eV/atom) = -3.70
- D(E_F) (states/eV/f.u.) = 3.74
- SG = No. 31



Record 20
Density functional theory data (PBEsol) for a relaxed ZnAg2SnSe4 crystal.

Cell: 5.7637 5.7637 12.3005 Å, 90.00 90.00 90.00°
Positions (direct):
1 Zn 0.0000 0.0000 0.0000
2 Zn 0.5000 0.5000 0.5000
3 Ag 0.0000 0.5000 0.2500
4 Ag 0.0000 0.5000 0.7500
5 Ag 0.5000 0.0000 0.2500
6 Ag 0.5000 0.0000 0.7500
7 Sn 0.0000 0.0000 0.5000
8 Sn 0.5000 0.5000 0.0000
9 Se 0.2415 0.2415 0.1207
10 Se 0.2415 0.7585 0.8793
11 Se 0.2585 0.2585 0.6207
12 Se 0.2585 0.7415 0.3793
13 Se 0.7415 0.2585 0.3793
14 Se 0.7415 0.7415 0.6207
15 Se 0.7585 0.2415 0.8793
16 Se 0.7585 0.7585 0.1207

Computed properties:
- total magnetization (Bohr magnetons per cell) = 0.00
- E (eV/atom) = -3.78
- D(E_F) (states/eV/f.u.) = 0.43
- SG = No. 121



ΔE_f (raw) list, top to bottom, in eV/f.u.: 0.1, 1.2, 2.0, 0.2, 0.4, 0.2, 0.1, 0.4, 0.0, 1.8, 0.8, 0.2, 0.9, 0.9, 0.7, 1.0, 3.0, 0.3, -1.6, -2.4